Here is a geometry-optimized TmHfGe2O8 structure from Alexandria. Energies are from PBE.

Summary:
VASP energy	-92.05	eV/f.u.
ΔE_f (raw)	-2393	meV per atom
N(E_F)	10.01	states/eV/cell
space-group type	No. 119

abc: 5.810 5.810 5.810
angles: 107.46 107.46 113.56
Last column: magnetic moment on the atom in μB.
Fractional coordinates of all 12 atoms:
Tm  0.250  0.750  0.500  -0.01
Hf  0.000  0.000  0.000  -0.02
Ge  0.750  0.250  0.500  -0.01
Ge  0.500  0.500  0.000  -0.01
O  0.373  0.067  0.306  0.09
O  0.304  0.485  0.181  0.12
O  0.304  0.123  0.819  0.12
O  0.761  0.067  0.694  0.09
O  0.877  0.696  0.181  0.12
O  0.933  0.239  0.306  0.09
O  0.933  0.627  0.694  0.09
O  0.515  0.696  0.819  0.12

Here is a geometry-optimized Pr8Sb2Pt3 structure from Alexandria. Energies are from PBE.

Summary:
VASP energy	-74.15	eV/f.u.
ΔE_f (raw)	-734	meV per atom
N(E_F)	12.59	states/eV/cell
space-group type	No. 12

abc: 7.215 8.398 9.147
angles: 117.33 104.56 90.00
Fractional coordinates of all 13 atoms:
Pr  0.880  0.595  0.190
Pr  0.120  0.405  0.810
Pr  0.905  0.102  0.203
Pr  0.095  0.898  0.797
Pr  0.598  0.645  0.781
Pr  0.598  0.136  0.781
Pr  0.402  0.864  0.219
Pr  0.402  0.355  0.219
Sb  0.334  0.254  0.508
Sb  0.666  0.746  0.492
Pt  0.500  0.000  0.000
Pt  0.000  0.253  0.000
Pt  0.000  0.747  0.000

Here is a geometry-optimized Sr2ZrTe structure from Alexandria. Energies are from PBE.

Summary:
VASP energy	-16.42	eV/f.u.
ΔE_f (raw)	-342	meV per atom
N(E_F)	4.54	states/eV/cell
space-group type	No. 99

abc: 3.880 3.880 9.415
angles: 90.00 90.00 90.00
Last column: magnetic moment on the atom in μB.
Fractional coordinates of all 4 atoms:
Sr  0.000  0.000  0.945  0.04
Sr  0.500  0.500  0.309  0.02
Te  0.000  0.000  0.558  -0.01
Zr  0.500  0.500  0.688  0.44

Here is a geometry-optimized TaWSe2 structure from Alexandria. Energies are from PBE.

Summary:
VASP energy	-31.29	eV/f.u.
offset from the most stable computed form	173	kJ/mol of formula units
ΔE_f (raw)	121	meV per atom
N(E_F)	2.23	states/eV/cell
space-group type	No. 166

abc: 8.913 8.913 8.913
angles: 20.30 20.30 20.30
Fractional coordinates of all 4 atoms:
Se  0.905  0.905  0.905
Se  0.095  0.095  0.095
W  0.000  0.000  0.000
Ta  0.500  0.500  0.500

Here is a geometry-optimized Zr2AlW structure from Alexandria. Energies are from PBE.

Summary:
VASP energy	-33.94	eV/f.u.
formation enthalpy at 0 K	-0.149	eV per formula unit
N(E_F)	3.34	states/eV/cell
space-group type	No. 10

abc: 4.429 2.934 6.217
angles: 72.49 90.00 90.00
Fractional coordinates of all 4 atoms:
Zr  0.000  0.900  0.994
Zr  0.000  0.600  0.506
W  0.500  0.750  0.750
Al  0.500  0.250  0.250

Here is a geometry-optimized SmHo2Hf structure from Alexandria. Energies are from PBE.

Summary:
VASP energy	-22.94	eV/f.u.
offset from the most stable computed form	44	kJ/mol of formula units
formation enthalpy at 0 K	0.892	eV per formula unit
N(E_F)	8.48	states/eV/cell
space-group type	No. 123

abc: 3.973 3.973 7.420
angles: 90.00 90.00 90.00
Fractional coordinates of all 4 atoms:
Hf  0.500  0.500  0.000
Ho  0.000  0.000  0.782
Ho  0.000  0.000  0.218
Sm  0.500  0.500  0.500

Here is a geometry-optimized UAlFeTc structure from Alexandria. Energies are from PBE.

Summary:
VASP energy	-34.47	eV/f.u.
formation enthalpy at 0 K	-0.613	eV per formula unit
N(E_F)	5.80	states/eV/cell
space-group type	No. 216

abc: 4.483 4.483 4.483
angles: 60.00 60.00 60.00
Last column: magnetic moment on the atom in μB.
Fractional coordinates of all 4 atoms:
Al  0.250  0.250  0.250  0.01
U  0.750  0.750  0.750  1.27
Tc  0.500  0.500  0.500  -0.08
Fe  0.000  0.000  0.000  -0.50

Here is a geometry-optimized NaNi3Pd structure from Alexandria. Energies are from PBE.

Summary:
VASP energy	-19.05	eV/f.u.
offset from the most stable computed form	0	kJ/mol of formula units
formation enthalpy at 0 K	4.810	eV per formula unit
N(E_F)	15.62	states/eV/cell
space-group type	No. 221

abc: 4.661 4.661 4.661
angles: 90.00 90.00 90.00
Last column: magnetic moment on the atom in μB.
Fractional coordinates of all 5 atoms:
Ni  0.000  0.500  0.000  0.88
Ni  0.000  0.000  0.500  1.17
Ni  0.500  0.000  0.000  0.47
Pd  0.000  0.000  0.000  0.41
Na  0.500  0.500  0.500  0.00

Here is a geometry-optimized SmSi2Ag4 structure from Alexandria. Energies are from PBE.

Summary:
VASP energy	-28.84	eV/f.u.
ΔE_f (raw)	-267	meV per atom
N(E_F)	2.99	states/eV/cell
space-group type	No. 65

abc: 4.190 4.201 7.752
angles: 105.72 90.00 90.00
Fractional coordinates of all 7 atoms:
Sm  0.000  0.000  0.000
Si  0.500  0.577  0.155
Si  0.500  0.423  0.845
Ag  0.500  0.822  0.643
Ag  0.000  0.679  0.358
Ag  0.500  0.178  0.357
Ag  0.000  0.321  0.642

Here is a geometry-optimized Tm4Ni2Os structure from Alexandria. Energies are from PBE.

Summary:
VASP energy	-42.27	eV/f.u.
offset from the most stable computed form	81	kJ/mol of formula units
formation enthalpy at 0 K	-1.591	eV per formula unit
N(E_F)	4.94	states/eV/cell
space-group type	No. 141

abc: 7.418 7.418 7.419
angles: 108.93 108.92 110.57
Fractional coordinates of all 14 atoms:
Tm  0.935  0.244  0.309
Tm  0.315  0.506  0.191
Tm  0.935  0.626  0.691
Tm  0.756  0.065  0.691
Tm  0.374  0.065  0.309
Tm  0.315  0.124  0.809
Tm  0.494  0.685  0.809
Tm  0.876  0.685  0.191
Ni  0.625  0.375  0.750
Ni  0.625  0.875  0.250
Ni  0.625  0.375  0.250
Ni  0.125  0.375  0.750
Os  0.250  0.750  0.500
Os  0.000  0.000  0.000

Here is a geometry-optimized Pa2AlGa3Cu4 structure from Alexandria. Energies are from PBE.

Summary:
VASP energy	-50.93	eV/f.u.
formation enthalpy at 0 K	-2.728	eV per formula unit
N(E_F)	5.74	states/eV/cell
space-group type	No. 115

abc: 4.133 4.133 9.977
angles: 90.00 90.00 90.00
Fractional coordinates of all 10 atoms:
Pa  0.500  0.000  0.242
Pa  0.000  0.500  0.758
Al  0.500  0.500  0.500
Ga  0.000  0.000  0.500
Ga  0.500  0.000  0.869
Ga  0.000  0.500  0.131
Cu  0.500  0.500  0.000
Cu  0.000  0.000  0.000
Cu  0.500  0.000  0.634
Cu  0.000  0.500  0.366

Here is a geometry-optimized Y2HfGePd structure from Alexandria. Energies are from PBE.

Summary:
VASP energy	-31.94	eV/f.u.
offset from the most stable computed form	0	kJ/mol of formula units
formation enthalpy at 0 K	0.755	eV per formula unit
N(E_F)	5.02	states/eV/cell
space-group type	No. 123

abc: 5.359 4.702 5.359
angles: 90.00 90.00 90.00
Last column: magnetic moment on the atom in μB.
Fractional coordinates of all 5 atoms:
Y  0.000  0.000  0.500  0.13
Y  0.500  0.000  0.000  0.18
Ge  0.000  0.500  0.000  -0.02
Hf  0.500  0.500  0.500  0.78
Pd  0.000  0.000  0.000  0.02